NdSm8Sn6 | Alexandria | PBE | optimized geometry; ΔE_f = -567 meV per atom; V = 488.4 Å³/cell; E = -75.0 eV per formula unit; space group = R-3, No. 148
1.0
4.633 2.675 6.568
-4.633 2.675 6.568
0.000 -5.350 6.568
Nd Sm Sn
1 8 6
Direct
0.000 0.000 0.000
0.105 0.773 0.436
0.227 0.564 0.895
0.333 0.333 0.333
0.436 0.105 0.773
0.564 0.895 0.227
0.667 0.667 0.667
0.773 0.436 0.105
0.895 0.227 0.564
0.067 0.403 0.732
0.268 0.933 0.597
0.403 0.732 0.067
0.597 0.268 0.933
0.732 0.067 0.403
0.933 0.597 0.268